Version 1
VASP calculation (PBE) on a relaxed KZn2Cr crystal.

Unit cell a=5.0861 b=5.0861 c=5.0861 alpha=60.00 beta=60.00 gamma=60.00
Last column: magnetic moment on the atom in μB.
Atoms (fractional coordinates):
Cr 0.5000 0.5000 0.5000  4.01
Zn 0.2500 0.2500 0.2500  0.02
Zn 0.7500 0.7500 0.7500  0.02
K 0.0000 0.0000 0.0000  0.02

mass density = 3.961 g/cm³
SG = Fm-3m

---

Version 2
VASP calculation (PBE) on a relaxed KZn2Cr crystal.

Unit cell a=3.3477 b=3.3477 c=8.2379 alpha=90.00 beta=90.00 gamma=90.00
Last column: magnetic moment on the atom in μB.
Atoms (fractional coordinates):
Cr 0.0000 0.0000 0.4101  3.75
K 0.5000 0.5000 0.7603  0.02
Zn 0.0000 0.0000 0.0770  0.02
Zn 0.5000 0.5000 0.2526  -0.01

mass density = 3.991 g/cm³
SG = P4mm

---

In order of decreasing stability: version 2, version 1.

---

Version 1
VASP calculation (PBE) on a relaxed KZn2Cr crystal.

Unit cell a=6.1965 b=6.1965 c=6.1965 alpha=151.84 beta=127.47 gamma=60.66
Last column: magnetic moment on the atom in μB.
Atoms (fractional coordinates):
Cr 0.5425 0.5425 0.0000  3.81
K 0.2431 0.7431 0.5000  0.00
Zn 0.9604 0.9604 0.0000  -0.04
Zn 0.7539 0.2539 0.5000  -0.03

mass density = 4.167 g/cm³
SG = Imm2

---

Version 2
VASP calculation (PBE) on a relaxed KZn2Cr crystal.

Unit cell a=3.6989 b=3.0604 c=8.3526 alpha=68.35 beta=90.00 gamma=90.00
Last column: magnetic moment on the atom in μB.
Atoms (fractional coordinates):
Cr 0.5000 0.2500 0.2500  3.44
K 0.5000 0.7500 0.7500  0.00
Zn 0.0000 0.9201 0.0808  -0.02
Zn 0.0000 0.5799 0.4192  -0.02

mass density = 4.193 g/cm³
SG = P2/m

---

In order of decreasing stability: version 2, version 1.

---

Version 1
VASP calculation (PBE) on a relaxed KZr2Cr crystal.

Unit cell a=3.2722 b=3.2722 c=10.0840 alpha=90.00 beta=90.00 gamma=90.00
Last column: magnetic moment on the atom in μB.
Atoms (fractional coordinates):
Cr 0.0000 0.0000 0.4421  3.47
K 0.5000 0.5000 0.7218  0.03
Zr 0.0000 0.0000 0.0644  0.18
Zr 0.5000 0.5000 0.2717  -0.09

mass density = 4.207 g/cm³
SG = P4mm

---

Version 2
VASP calculation (PBE) on a relaxed KZr2Cr crystal.

Unit cell a=4.1812 b=4.1812 c=9.1422 alpha=87.15 beta=87.15 gamma=44.63
Last column: magnetic moment on the atom in μB.
Atoms (fractional coordinates):
Cr 0.7500 0.7500 0.7500  0.47
K 0.2500 0.2500 0.2500  0.00
Zr 0.0174 0.0174 0.8940  -0.04
Zr 0.4826 0.4826 0.6060  -0.04

mass density = 4.052 g/cm³
SG = C2/m

---

In order of decreasing stability: version 1, version 2.